Below is crystalline La5Pm12Nd2 at its relaxed geometry, with properties calculated at the GGA-PBE level.

abc: 11.843 8.893 9.614
angles: 70.74 90.00 131.75
Fractional positions:
La: 0.314 0.628 0.229
La: 0.195 0.389 0.670
La: 0.805 0.611 0.330
La: 0.686 0.372 0.771
La: 0.000 0.000 0.500
Pm: 0.381 0.210 0.581
Pm: 0.880 0.760 0.944
Pm: 0.947 0.390 0.193
Pm: 0.829 0.210 0.581
Pm: 0.423 0.846 0.785
Pm: 0.443 0.390 0.193
Pm: 0.120 0.240 0.056
Pm: 0.171 0.790 0.419
Pm: 0.557 0.610 0.807
Pm: 0.053 0.610 0.807
Pm: 0.577 0.154 0.215
Pm: 0.619 0.790 0.419
Nd: 0.736 0.000 0.000
Nd: 0.264 0.000 0.000

Calculated volume (Å³ per atom): 35.661
D(E_F) (states/eV per atom): 1.6054
Symmetry: No. 12
Relative energy among the computed polymorphs (meV/atom): 0
Energy of formation (eV/atom): 0.107
Total energy (eV/atom): -4.692